{
  "formula": "Er2PdAu2",
  "functional": "PBE",
  "state": "relaxed",
  "de_polymorph_ev_per_atom": 0.057,
  "crystal_system": "orthorhombic",
  "cell": [[-3.126, 6.362, 2.942], [3.126, -6.362, 2.942], [3.126, 6.362, -2.942]],
  "species": ["Er", "Er", "Er", "Er", "Pd", "Pd", "Au", "Au", "Au", "Au"],
  "frac_coords": [[0.152, 0.250, 0.401], [0.348, 0.750, 0.098], [0.652, 0.250, 0.902], [0.848, 0.750, 0.599], [0.250, 0.250, 0.000], [0.750, 0.750, 0.000], [0.121, 0.707, 0.828], [0.379, 0.207, 0.587], [0.621, 0.793, 0.413], [0.879, 0.293, 0.172]]
}


{
  "formula": "SrPrP2O8",
  "functional": "PBE",
  "state": "relaxed",
  "formation_energy_uncorrected_mev_per_atom": -2614.3,
  "crystal_system": "trigonal",
  "cell": [[5.470, 0.000, 0.000], [-2.735, 4.738, 0.000], [0.000, 0.000, 7.572]],
  "species": ["Sr", "Pr", "P", "P", "O", "O", "O", "O", "O", "O", "O", "O"],
  "frac_coords": [[0.000, 0.000, 0.000], [0.000, 0.000, 0.500], [0.333, 0.667, 0.786], [0.667, 0.333, 0.214], [0.178, 0.358, 0.718], [0.180, 0.822, 0.718], [0.333, 0.667, 0.990], [0.358, 0.180, 0.282], [0.642, 0.820, 0.718], [0.667, 0.333, 0.010], [0.820, 0.178, 0.282], [0.822, 0.642, 0.282]]
}


{
  "formula": "Tb7Dy4Er",
  "functional": "PBE",
  "state": "relaxed",
  "de_polymorph_ev_per_atom": 0.198,
  "crystal_system": "monoclinic",
  "cell": [[5.980, -2.939, 0.000], [5.980, 2.939, 0.000], [-5.947, 0.000, 11.124]],
  "species": ["Tb", "Tb", "Tb", "Tb", "Tb", "Tb", "Tb", "Dy", "Dy", "Dy", "Dy", "Er"],
  "frac_coords": [[0.000, 0.000, 0.000], [0.212, 0.212, 0.924], [0.245, 0.245, 0.682], [0.368, 0.368, 0.500], [0.632, 0.632, 0.500], [0.755, 0.755, 0.318], [0.788, 0.788, 0.076], [0.061, 0.061, 0.321], [0.364, 0.364, 0.224], [0.636, 0.636, 0.776], [0.939, 0.939, 0.679], [0.500, 0.500, 0.000]]
}


{
  "formula": "In2Si7Ir12",
  "functional": "PBE",
  "state": "relaxed",
  "formation_energy_uncorrected_mev_per_atom": -475.2,
  "crystal_system": "hexagonal",
  "cell": [[9.881, 0.000, 0.000], [-4.940, 8.557, 0.000], [0.000, 0.000, 3.743]],
  "species": ["In", "In", "Si", "Si", "Si", "Si", "Si", "Si", "Si", "Ir", "Ir", "Ir", "Ir", "Ir", "Ir", "Ir", "Ir", "Ir", "Ir", "Ir", "Ir"],
  "frac_coords": [[0.000, 0.000, 0.000], [0.333, 0.667, 0.500], [0.065, 0.442, 0.000], [0.264, 0.227, 0.500], [0.376, 0.935, 0.000], [0.558, 0.624, 0.000], [0.667, 0.333, 0.000], [0.773, 0.038, 0.500], [0.962, 0.736, 0.500], [0.044, 0.260, 0.500], [0.121, 0.709, 0.000], [0.215, 0.956, 0.500], [0.291, 0.412, 0.000], [0.399, 0.188, 0.000], [0.532, 0.445, 0.500], [0.555, 0.087, 0.500], [0.588, 0.879, 0.000], [0.740, 0.785, 0.500], [0.790, 0.601, 0.000], [0.812, 0.210, 0.000], [0.913, 0.468, 0.500]]
}


{
  "formula": "TlSbBr2Cl",
  "functional": "PBE",
  "state": "relaxed",
  "formation_energy_uncorrected_mev_per_atom": -564.0,
  "crystal_system": "tetragonal",
  "cell": [[5.786, 0.000, 0.000], [0.000, 5.786, 0.000], [0.000, 0.000, 5.478]],
  "species": ["Tl", "Sb", "Br", "Br", "Cl"],
  "frac_coords": [[0.000, 0.000, 0.000], [0.500, 0.500, 0.500], [0.000, 0.500, 0.500], [0.500, 0.000, 0.500], [0.500, 0.500, 0.000]]
}


{
  "formula": "PuPaO6",
  "functional": "PBE",
  "state": "relaxed",
  "formation_energy_uncorrected_mev_per_atom": -2805.3,
  "de_polymorph_ev_per_atom": 0.000,
  "crystal_system": "triclinic",
  "cell": [[5.931, 0.000, 0.000], [-2.953, 5.148, 0.000], [-2.950, -1.725, 4.851]],
  "species": ["Pu", "Pa", "O", "O", "O", "O", "O", "O"],
  "frac_coords": [[0.000, 0.000, 0.000], [0.000, 0.500, 0.500], [0.003, 0.260, 0.260], [0.012, 0.237, 0.775], [0.462, 0.223, 0.236], [0.538, 0.777, 0.764], [0.988, 0.763, 0.225], [0.997, 0.740, 0.740]]
}


{
  "formula": "FeBi",
  "functional": "PBE",
  "state": "relaxed",
  "total_energy_ev_per_atom": -5.906,
  "crystal_system": "tetragonal",
  "cell": [[-1.741, 1.741, 7.574], [1.741, -1.741, 7.574], [1.741, 1.741, -7.574]],
  "species": ["Fe", "Fe", "Bi", "Bi"],
  "frac_coords": [[0.000, 0.500, 0.500], [0.500, 0.000, 0.500], [0.143, 0.143, 0.000], [0.857, 0.857, 0.000]]
}


{
  "formula": "HfNbFeCuW",
  "functional": "PBE",
  "state": "relaxed",
  "de_polymorph_ev_per_atom": 0.123,
  "crystal_system": "triclinic",
  "cell": [[2.780, 0.000, 0.000], [0.027, 4.692, 0.000], [0.967, 1.198, 6.124]],
  "species": ["Hf", "Nb", "Fe", "Cu", "W"],
  "frac_coords": [[0.000, 0.000, 0.000], [0.377, 0.132, 0.518], [0.671, 0.453, 0.130], [0.081, 0.670, 0.389], [0.545, 0.557, 0.763]]
}


{
  "formula": "Nd6HoTl5",
  "functional": "PBE",
  "state": "relaxed",
  "de_polymorph_ev_per_atom": 0.112,
  "crystal_system": "monoclinic",
  "cell": [[5.270, -5.837, 0.000], [5.270, 5.837, 0.000], [-1.437, 0.000, 6.231]],
  "species": ["Nd", "Nd", "Nd", "Nd", "Nd", "Nd", "Ho", "Tl", "Tl", "Tl", "Tl", "Tl"],
  "frac_coords": [[0.042, 0.405, 0.730], [0.217, 0.217, 0.212], [0.405, 0.042, 0.730], [0.595, 0.958, 0.270], [0.783, 0.783, 0.788], [0.958, 0.595, 0.270], [0.500, 0.500, 0.000], [0.000, 0.000, 0.500], [0.211, 0.789, 0.000], [0.367, 0.633, 0.500], [0.633, 0.367, 0.500], [0.789, 0.211, 0.000]]
}


{
  "formula": "LaAs2Ru",
  "functional": "PBE",
  "state": "relaxed",
  "de_polymorph_ev_per_atom": 0.662,
  "crystal_system": "tetragonal",
  "cell": [[3.189, 0.000, 0.000], [0.000, 3.189, 0.000], [0.000, 0.000, 8.541]],
  "species": ["La", "As", "As", "Ru"],
  "frac_coords": [[0.000, 0.000, 0.000], [0.000, 0.000, 0.405], [0.500, 0.500, 0.740], [0.500, 0.500, 0.269]]
}